Entry 1:
LaCeDyN3, optimized geometry, DFT PBE-GGA; energy relative to the elements, uncorrected = -129.3 kJ/mol of atoms; symmetry = P2_1/m (11); Fermi-level density of states = 0.517 states/eV/atom; electronic total energy = -8.08 eV per atom; total magnetic moment = 0.74 μB/f.u.
1.0
6.1258 0.0000 0.0000
0.0000 3.5587 0.0000
-1.8521 0.0000 9.1229
La Ce Dy N
2 2 2 6
Direct
0.1646 0.2500 0.2012
0.8354 0.7500 0.7988
0.3511 0.2500 0.8536
0.6489 0.7500 0.1464
0.2667 0.7500 0.5428
0.7333 0.2500 0.4572
0.0422 0.2500 0.6618
0.2556 0.7500 0.9950
0.4639 0.7500 0.3486
0.5361 0.2500 0.6514
0.7444 0.2500 0.0050
0.9578 0.7500 0.3382

Entry 2:
LaCe3Dy2N6, optimized geometry, DFT PBE-GGA; energy relative to the elements, uncorrected = -147.2 kJ/mol of atoms; symmetry = C2/m (12); Fermi-level density of states = 0.632 states/eV/atom; electronic total energy = -8.35 eV per atom; total magnetic moment = 0.64 μB/f.u.
1.0
3.0933 -5.3559 0.0000
3.0933 5.3559 0.0000
-2.0590 0.0000 5.8004
La Ce Dy N
1 3 2 6
Direct
0.0000 0.0000 0.0000
0.1671 0.8329 0.5000
0.5000 0.5000 0.5000
0.8329 0.1671 0.5000
0.3334 0.6666 0.0000
0.6666 0.3334 0.0000
0.0857 0.4337 0.2565
0.2639 0.2639 0.7458
0.4337 0.0857 0.2565
0.5663 0.9143 0.7435
0.7361 0.7361 0.2542
0.9143 0.5663 0.7435